Entry 1:
A relaxed AcLa2Pm2Nd crystal, computed with PBE.

ρ = 6.8 g/cm3
calculated total energy = -4.464 eV/atom
ΔH_f (0 K) = 0.24 eV per atom
spin magnetization = 0.000 μB per atom

abc: 6.7315 18.8863 3.5824
angles: 90.00 90.00 90.00
With the nearest neighbours (Å) after each atom.
Element x y z (fractional)
Ac (0.0000, 0.0000, 0.0000)  2 Pm 3.48, 2 Ac 3.58, 4 Nd 3.81, 2 La 3.85
Ac (0.5000, 0.5000, 0.5000)  2 Pm 3.48, 2 Ac 3.58, 4 Nd 3.81, 2 La 3.85
La (0.1935, 0.1918, 0.0000)  4 Pm 3.43-3.54, 2 La 3.58
La (0.3065, 0.6918, 0.5000)  4 Pm 3.43-3.54, 2 La 3.58
La (0.6935, 0.3082, 0.5000)  4 Pm 3.43-3.54, 2 La 3.58
La (0.8065, 0.8082, 0.0000)  4 Pm 3.43-3.54, 2 La 3.58
Pm (0.1874, 0.3535, 0.5000)  4 La 3.43-3.54, 1 Ac 3.48, 2 Nd 3.53, 2 Pm 3.58
Pm (0.3126, 0.8535, 0.0000)  4 La 3.43-3.54, 1 Ac 3.48, 2 Nd 3.53, 2 Pm 3.58
Pm (0.6874, 0.1465, 0.0000)  4 La 3.43-3.54, 1 Ac 3.48, 2 Nd 3.53, 2 Pm 3.58
Pm (0.8126, 0.6465, 0.5000)  4 La 3.43-3.54, 1 Ac 3.48, 2 Nd 3.53, 2 Pm 3.58
Nd (0.0000, 0.5000, 0.0000)  4 Pm 3.53, 2 Nd 3.58, 4 Ac 3.81
Nd (0.5000, 0.0000, 0.5000)  4 Pm 3.53, 2 Nd 3.58, 4 Ac 3.81

Entry 2:
A relaxed Ca2TeBr crystal, computed with PBE.

ρ = 4.2 g/cm3
calculated total energy = -3.510 eV/atom
spin magnetization = 0.000 μB per atom
uncorrected formation energy = -1.31 eV per atom

abc: 5.4176 5.4176 5.4176
angles: 60.00 60.00 60.00
With the nearest neighbours (Å) after each atom.
Element x y z (fractional)
Ca (0.2500, 0.2500, 0.2500)  4 Br 3.32, 4 Te 3.32
Ca (0.7500, 0.7500, 0.7500)  4 Br 3.32, 4 Te 3.32
Te (0.0000, 0.0000, 0.0000)  8 Ca 3.32
Br (0.5000, 0.5000, 0.5000)  8 Ca 3.32

Entry 3:
A relaxed Ce6ZnRh2 crystal, computed with PBE.

ρ = 9.2 g/cm3
calculated total energy = -6.043 eV/atom
ΔH_f (0 K) = -0.31 eV per atom
spin magnetization = 0.124 μB per atom

abc: 5.7107 5.7107 9.0369
angles: 115.02 115.02 50.57
With the nearest neighbours (Å) after each atom.
Element x y z (fractional)
Ce (0.0278, 0.0278, 0.3496)  3 Rh 2.91-2.95, 3 Ce 3.03, 1 Zn 3.04
Ce (0.3382, 0.3382, 0.9906)  4 Ce 2.92-3.27, 2 Zn 2.94, 1 Rh 2.96
Ce (0.3421, 0.3421, 0.3161)  3 Ce 2.92-3.03, 3 Rh 3.00-3.17
Ce (0.6579, 0.6579, 0.6839)  3 Ce 2.92-3.03, 3 Rh 3.00-3.17
Ce (0.6618, 0.6618, 0.0094)  4 Ce 2.92-3.27, 2 Zn 2.94, 1 Rh 2.96
Ce (0.9722, 0.9722, 0.6504)  3 Rh 2.91-2.95, 3 Ce 3.03, 1 Zn 3.04
Zn (0.0000, 0.0000, 0.0000)  6 Ce 2.94-3.04
Rh (0.3109, 0.3109, 0.6491)  7 Ce 2.91-3.17
Rh (0.6891, 0.6891, 0.3509)  7 Ce 2.91-3.17

Entry 4:
A relaxed Pm4Pr5Ni2 crystal, computed with PBE.

ρ = 6.8 g/cm3
calculated total energy = -4.996 eV/atom
ΔH_f (0 K) = -0.05 eV per atom
spin magnetization = 0.000 μB per atom

abc: 9.0185 3.6529 10.4106
angles: 90.00 97.30 90.00
With the nearest neighbours (Å) after each atom.
Element x y z (fractional)
Pm (0.1778, 0.0000, 0.3117)  2 Ni 2.82
Pm (0.1881, 0.0000, 0.9503)  4 Ni 2.88-2.90
Pm (0.8119, 0.0000, 0.0497)  4 Ni 2.88-2.90
Pm (0.8222, 0.0000, 0.6883)  2 Ni 2.82
Pr (0.1547, 0.5000, 0.6366)  1 Ni 3.38, 5 Pr 3.58-3.72, 4 Pm 3.61-3.72
Pr (0.4741, 0.5000, 0.1678)  5 Pr 3.44-3.69, 4 Pm 3.69-3.71, 1 Ni 3.71
Pr (0.5000, 0.5000, 0.5000)  6 Pr 3.44-3.65, 4 Pm 3.76
Pr (0.5259, 0.5000, 0.8322)  5 Pr 3.44-3.69, 4 Pm 3.69-3.71, 1 Ni 3.71
Pr (0.8453, 0.5000, 0.3634)  1 Ni 3.38, 5 Pr 3.58-3.72, 4 Pm 3.61-3.72
Ni (0.0588, 0.5000, 0.1193)  1 Ni 2.58, 4 Pm 2.82-2.88
Ni (0.9412, 0.5000, 0.8807)  1 Ni 2.58, 4 Pm 2.82-2.88

Entry 5:
A relaxed KPtCl2 crystal, computed with PBE.

ρ = 6.0 g/cm3
calculated total energy = -3.040 eV/atom
spin magnetization = 0.201 μB per atom
uncorrected formation energy = -0.33 eV per atom

abc: 5.0370 5.0370 3.3306
angles: 90.00 90.00 90.00
With the nearest neighbours (Å) after each atom.
Element x y z (fractional)
K (0.0000, 0.0000, 0.0000)  8 Cl 3.02, 2 K 3.33
Pt (0.5000, 0.5000, 0.0000)  8 Cl 3.02, 2 Pt 3.33
Cl (0.0000, 0.5000, 0.5000)  4 Pt 3.02, 4 K 3.02, 2 Cl 3.33
Cl (0.5000, 0.0000, 0.5000)  4 Pt 3.02, 4 K 3.02, 2 Cl 3.33

Entry 6:
A relaxed Tc2PtSe crystal, computed with PBE.

ρ = 12.5 g/cm3
calculated total energy = -7.382 eV/atom
spin magnetization = 0.000 μB per atom
uncorrected formation energy = 0.18 eV per atom

abc: 2.8604 4.3264 5.2286
angles: 90.00 105.60 90.00
With the nearest neighbours (Å) after each atom.
Element x y z (fractional)
Tc (0.0000, 0.0000, 0.0000)  3 Se 2.61-2.83, 6 Tc 2.82-2.86
Tc (0.3859, 0.5000, 0.7762)  2 Se 2.42, 1 Pt 2.58
Pt (0.6424, 0.5000, 0.2886)  3 Tc 2.58-2.85, 2 Pt 2.86
Se (0.3009, 0.0000, 0.5616)  4 Tc 2.42-2.66

Entry 7:
A relaxed LaScCu2Se4 crystal, computed with PBE.

ρ = 5.5 g/cm3
calculated total energy = -5.254 eV/atom
spin magnetization = 0.000 μB per atom
uncorrected formation energy = -1.08 eV per atom

abc: 6.3048 6.3048 6.3048
angles: 116.36 111.15 101.26
With the nearest neighbours (Å) after each atom.
Element x y z (fractional)
La (0.0000, 0.0000, 0.0000)  8 Se 3.15-3.27
Sc (0.5000, 0.5000, 0.0000)  4 Se 2.59
Cu (0.3426, 0.8426, 0.5000)  2 Se 2.36, 1 Cu 2.52
Cu (0.6574, 0.1574, 0.5000)  2 Se 2.36, 1 Cu 2.52
Se (0.1044, 0.0855, 0.5663)  1 Cu 2.36, 1 Sc 2.59
Se (0.4808, 0.9145, 0.0189)  1 Cu 2.36, 1 Sc 2.59
Se (0.5192, 0.5381, 0.4337)  1 Cu 2.36, 1 Sc 2.59
Se (0.8956, 0.4619, 0.9811)  1 Cu 2.36, 1 Sc 2.59

Entry 8:
A relaxed Na2IF crystal, computed with PBE.

ρ = 3.1 g/cm3
calculated total energy = -3.428 eV/atom
spin magnetization = 0.000 μB per atom
uncorrected formation energy = -1.91 eV per atom

abc: 6.5093 6.5093 6.5093
angles: 115.97 115.97 97.13
With the nearest neighbours (Å) after each atom.
Element x y z (fractional)
Na (0.0132, 0.1250, 0.3882)  2 F 2.25
Na (0.3750, 0.9868, 0.1118)  2 F 2.25
Na (0.7368, 0.6250, 0.6118)  2 F 2.25
Na (0.8750, 0.2632, 0.8882)  2 F 2.25
I (0.2500, 0.7500, 0.5000)  4 Na 3.22
I (0.5000, 0.5000, 0.0000)  4 Na 3.22
F (0.0000, 0.0000, 0.0000)  4 Na 2.25
F (0.7500, 0.2500, 0.5000)  4 Na 2.25

Entry 9:
A relaxed BaTl2GeBr6 crystal, computed with PBE.

ρ = 4.9 g/cm3
calculated total energy = -3.276 eV/atom
spin magnetization = 0.000 μB per atom
uncorrected formation energy = -1.15 eV per atom

abc: 7.8517 8.3333 13.6869
angles: 90.00 123.52 90.00
With the nearest neighbours (Å) after each atom.
Element x y z (fractional)
Ba (0.0000, 0.0000, 0.0000)  6 Br 3.23
Ba (0.0000, 0.5000, 0.5000)  6 Br 3.23
Tl (0.2901, 0.0822, 0.7590)  6 Br 3.34-3.65
Tl (0.2901, 0.4178, 0.2590)  6 Br 3.34-3.65
Tl (0.7099, 0.5822, 0.7410)  6 Br 3.34-3.65
Tl (0.7099, 0.9178, 0.2410)  6 Br 3.34-3.65
Ge (0.5000, 0.0000, 0.5000)  6 Br 2.83-2.85
Ge (0.5000, 0.5000, 0.0000)  6 Br 2.83-2.85
Br (0.1418, 0.0385, 0.2701)  1 Ge 2.85
Br (0.1418, 0.4615, 0.7701)  1 Ge 2.85
Br (0.2711, 0.6782, 0.0654)  1 Ge 2.83
Br (0.2711, 0.8218, 0.5654)  1 Ge 2.83
Br (0.3960, 0.2084, 0.0636)  1 Ge 2.85
Br (0.3960, 0.2916, 0.5636)  1 Ge 2.85
Br (0.6040, 0.7084, 0.4364)  1 Ge 2.85
Br (0.6040, 0.7916, 0.9364)  1 Ge 2.85
Br (0.7289, 0.1782, 0.4346)  1 Ge 2.83
Br (0.7289, 0.3218, 0.9346)  1 Ge 2.83
Br (0.8582, 0.5385, 0.2299)  1 Ge 2.85
Br (0.8582, 0.9615, 0.7299)  1 Ge 2.85

Entry 10:
A relaxed B2PIr crystal, computed with PBE.

ρ = 7.9 g/cm3
calculated total energy = -6.858 eV/atom
ΔH_f (0 K) = 0.05 eV per atom
spin magnetization = 0.000 μB per atom

abc: 5.7126 5.7126 5.7126
angles: 131.52 131.52 70.99
With the nearest neighbours (Å) after each atom.
Element x y z (fractional)
B (0.1095, 0.6250, 0.9845)  2 P 1.98, 2 Ir 2.07
B (0.3750, 0.3595, 0.4845)  2 P 1.98, 2 Ir 2.07
B (0.6405, 0.1250, 0.0155)  2 P 1.98, 2 Ir 2.07
B (0.8750, 0.8905, 0.5155)  2 P 1.98, 2 Ir 2.07
P (0.0000, 0.0000, 0.0000)  4 B 1.98
P (0.7500, 0.2500, 0.5000)  4 B 1.98
Ir (0.2500, 0.7500, 0.5000)  4 B 2.07
Ir (0.5000, 0.5000, 0.0000)  4 B 2.07

Entry 11:
A relaxed RbCa2P crystal, computed with PBE.

ρ = 1.8 g/cm3
calculated total energy = -3.159 eV/atom
ΔH_f (0 K) = -0.56 eV per atom
spin magnetization = 0.000 μB per atom

abc: 11.8630 11.8630 11.8630
angles: 20.76 20.76 20.76
With the nearest neighbours (Å) after each atom.
Element x y z (fractional)
Rb (0.0000, 0.0000, 0.0000)  6 Rb 4.27, 2 Ca 4.37
Ca (0.1254, 0.1254, 0.1254)  3 P 2.85
Ca (0.8746, 0.8746, 0.8746)  3 P 2.85
P (0.5000, 0.5000, 0.5000)  6 Ca 2.85

Entry 12:
A relaxed CaRe3Pt crystal, computed with PBE.

ρ = 14.4 g/cm3
calculated total energy = -5.932 eV/atom
ΔH_f (0 K) = 3.15 eV per atom
spin magnetization = 0.000 μB per atom

abc: 4.5080 4.5080 4.5080
angles: 90.00 90.00 90.00
With the nearest neighbours (Å) after each atom.
Element x y z (fractional)
Ca (0.0000, 0.0000, 0.0000)  6 Re 2.25
Re (0.0000, 0.0000, 0.5000)  2 Ca 2.25
Re (0.0000, 0.5000, 0.0000)  2 Ca 2.25
Re (0.5000, 0.0000, 0.0000)  2 Ca 2.25
Pt (0.5000, 0.5000, 0.5000)  12 Re 3.19

Entry 13:
A relaxed TlIn3Hg7 crystal, computed with PBE.

ρ = 10.3 g/cm3
calculated total energy = -1.132 eV/atom
ΔH_f (0 K) = 0.02 eV per atom
spin magnetization = 0.000 μB per atom

abc: 8.3697 8.3697 5.7967
angles: 95.61 95.61 51.00
With the nearest neighbours (Å) after each atom.
Element x y z (fractional)
Tl (0.0000, 0.0000, 0.0000)  6 In 3.31-3.61, 5 Hg 3.32-3.42
In (0.2284, 0.7403, 0.4777)  4 Hg 3.14-3.21, 2 Tl 3.31-3.49, 2 In 3.41-3.47
In (0.4945, 0.4945, 0.9744)  6 Hg 3.24-3.37, 4 In 3.41-3.47, 2 Tl 3.61
In (0.7403, 0.2284, 0.4777)  4 Hg 3.14-3.21, 2 Tl 3.31-3.49, 2 In 3.41-3.47
Hg (0.0580, 0.5865, 0.7741)  2 In 3.14-3.33, 6 Hg 3.14-3.49, 1 Tl 3.32
Hg (0.1594, 0.1594, 0.6248)  7 Hg 3.16-3.53, 2 In 3.21, 1 Tl 3.42
Hg (0.3253, 0.3253, 0.2802)  3 Hg 3.05-3.37, 3 In 3.14-3.26
Hg (0.4508, 0.9017, 0.1328)  4 Hg 3.05-3.25, 1 In 3.24, 1 Tl 3.34
Hg (0.5865, 0.0580, 0.7741)  2 In 3.14-3.33, 6 Hg 3.14-3.49, 1 Tl 3.32
Hg (0.6526, 0.6526, 0.6065)  6 Hg 3.14-3.44, 3 In 3.16-3.37
Hg (0.9017, 0.4508, 0.1328)  4 Hg 3.05-3.25, 1 In 3.24, 1 Tl 3.34

Entry 14:
A relaxed TmSc2In crystal, computed with PBE.

ρ = 6.4 g/cm3
calculated total energy = -5.103 eV/atom
ΔH_f (0 K) = -0.14 eV per atom
spin magnetization = 0.332 μB per atom

abc: 5.1677 5.1677 5.1677
angles: 60.00 60.00 60.00
With the nearest neighbours (Å) after each atom.
Element x y z (fractional)
Tm (0.0000, 0.0000, 0.0000)  8 Sc 3.16
Sc (0.2500, 0.2500, 0.2500)  4 In 3.16, 4 Tm 3.16
Sc (0.7500, 0.7500, 0.7500)  4 In 3.16, 4 Tm 3.16
In (0.5000, 0.5000, 0.5000)  8 Sc 3.16

Entry 15:
A relaxed Nd3ErSc crystal, computed with PBE.

ρ = 6.5 g/cm3
calculated total energy = -4.882 eV/atom
ΔH_f (0 K) = 0.16 eV per atom
spin magnetization = 0.000 μB per atom

abc: 3.5296 17.4695 10.7070
angles: 90.00 90.00 90.00
With the nearest neighbours (Å) after each atom.
Element x y z (fractional)
Nd (0.2443, 0.2500, 0.0000)  4 Sc 3.22-3.23, 6 Nd 3.53-3.56
Nd (0.2443, 0.2500, 0.5000)  4 Sc 3.22-3.23, 6 Nd 3.53-3.56
Nd (0.2547, 0.5769, 0.0606)  1 Sc 3.33, 6 Nd 3.45-3.56
Nd (0.2547, 0.5769, 0.4394)  1 Sc 3.33, 6 Nd 3.45-3.56
Nd (0.2547, 0.9231, 0.5606)  1 Sc 3.33, 6 Nd 3.45-3.56
Nd (0.2547, 0.9231, 0.9394)  1 Sc 3.33, 6 Nd 3.45-3.56
Nd (0.7453, 0.0769, 0.0606)  1 Sc 3.33, 6 Nd 3.45-3.56
Nd (0.7453, 0.0769, 0.4394)  1 Sc 3.33, 6 Nd 3.45-3.56
Nd (0.7453, 0.4231, 0.5606)  1 Sc 3.33, 6 Nd 3.45-3.56
Nd (0.7453, 0.4231, 0.9394)  1 Sc 3.33, 6 Nd 3.45-3.56
Nd (0.7557, 0.7500, 0.0000)  4 Sc 3.22-3.23, 6 Nd 3.53-3.56
Nd (0.7557, 0.7500, 0.5000)  4 Sc 3.22-3.23, 6 Nd 3.53-3.56
Er (0.2398, 0.1042, 0.7500)  2 Sc 3.41-3.42, 2 Er 3.53, 8 Nd 3.70-3.80
Er (0.2398, 0.3958, 0.2500)  2 Sc 3.41-3.42, 2 Er 3.53, 8 Nd 3.70-3.80
Er (0.7602, 0.6042, 0.7500)  2 Sc 3.41-3.42, 2 Er 3.53, 8 Nd 3.70-3.80
Er (0.7602, 0.8958, 0.2500)  2 Sc 3.41-3.42, 2 Er 3.53, 8 Nd 3.70-3.80
Sc (0.2584, 0.7284, 0.2500)  6 Nd 3.22-3.33, 2 Er 3.41-3.42, 2 Sc 3.53
Sc (0.2584, 0.7716, 0.7500)  6 Nd 3.22-3.33, 2 Er 3.41-3.42, 2 Sc 3.53
Sc (0.7416, 0.2284, 0.2500)  6 Nd 3.22-3.33, 2 Er 3.41-3.42, 2 Sc 3.53
Sc (0.7416, 0.2716, 0.7500)  6 Nd 3.22-3.33, 2 Er 3.41-3.42, 2 Sc 3.53

Entry 16:
A relaxed NaGe2Pd2 crystal, computed with PBE.

ρ = 7.3 g/cm3
calculated total energy = -4.516 eV/atom
ΔH_f (0 K) = -0.33 eV per atom
spin magnetization = 0.000 μB per atom

abc: 7.6751 7.6751 2.9397
angles: 90.00 90.00 90.00
With the nearest neighbours (Å) after each atom.
Element x y z (fractional)
Na (0.0000, 0.0000, 0.0000)  2 Na 2.94, 4 Pd 2.97, 8 Ge 3.25
Na (0.5000, 0.5000, 0.0000)  2 Na 2.94, 4 Pd 2.97, 8 Ge 3.25
Ge (0.1549, 0.3451, 0.5000)  6 Pd 2.67-2.70, 2 Ge 2.94
Ge (0.3451, 0.8451, 0.5000)  6 Pd 2.67-2.70, 2 Ge 2.94
Ge (0.6549, 0.1549, 0.5000)  6 Pd 2.67-2.70, 2 Ge 2.94
Ge (0.8451, 0.6549, 0.5000)  6 Pd 2.67-2.70, 2 Ge 2.94
Pd (0.1392, 0.6392, 0.0000)  6 Ge 2.67-2.70, 2 Pd 2.94, 2 Na 2.97
Pd (0.3608, 0.1392, 0.0000)  6 Ge 2.67-2.70, 2 Pd 2.94, 2 Na 2.97
Pd (0.6392, 0.8608, 0.0000)  6 Ge 2.67-2.70, 2 Pd 2.94, 2 Na 2.97
Pd (0.8608, 0.3608, 0.0000)  6 Ge 2.67-2.70, 2 Pd 2.94, 2 Na 2.97

Entry 17:
A relaxed YRhBr crystal, computed with PBE.

ρ = 6.0 g/cm3
calculated total energy = -5.454 eV/atom
spin magnetization = 0.000 μB per atom
uncorrected formation energy = -0.29 eV per atom

abc: 4.7287 4.7287 4.7287
angles: 60.00 60.00 60.00
With the nearest neighbours (Å) after each atom.
Element x y z (fractional)
Y (0.0000, 0.0000, 0.0000)  4 Br 2.90, 4 Rh 2.90
Rh (0.2500, 0.2500, 0.2500)  4 Y 2.90
Br (0.7500, 0.7500, 0.7500)  4 Y 2.90

Entry 18:
A relaxed ZrSc3Cl crystal, computed with PBE.

ρ = 3.8 g/cm3
calculated total energy = -6.188 eV/atom
spin magnetization = 0.000 μB per atom
uncorrected formation energy = -0.31 eV per atom

abc: 4.8452 4.8452 4.8452
angles: 90.00 90.00 90.00
With the nearest neighbours (Å) after each atom.
Element x y z (fractional)
Zr (0.0000, 0.0000, 0.0000)  12 Sc 3.43
Sc (0.0000, 0.5000, 0.5000)  2 Cl 2.42
Sc (0.5000, 0.0000, 0.5000)  2 Cl 2.42
Sc (0.5000, 0.5000, 0.0000)  2 Cl 2.42
Cl (0.5000, 0.5000, 0.5000)  6 Sc 2.42

Entry 19:
A relaxed PmSmHgRu crystal, computed with PBE.

ρ = 10.2 g/cm3
calculated total energy = -5.129 eV/atom
ΔH_f (0 K) = -0.37 eV per atom
spin magnetization = 0.000 μB per atom

abc: 3.5505 3.5505 7.7350
angles: 90.00 90.00 90.00
With the nearest neighbours (Å) after each atom.
Element x y z (fractional)
Pm (0.0000, 0.0000, 0.0000)  4 Ru 3.04, 4 Hg 3.33, 1 Sm 3.40
Sm (0.0000, 0.0000, 0.4398)  4 Ru 3.03, 4 Hg 3.30
Hg (0.5000, 0.5000, 0.7175)  4 Sm 3.30, 4 Pm 3.33, 4 Hg 3.55
Ru (0.5000, 0.5000, 0.2216)  4 Sm 3.03, 4 Pm 3.04

Entry 20:
A relaxed Zr7P4 crystal, computed with PBE.

ρ = 6.1 g/cm3
calculated total energy = -8.575 eV/atom
ΔH_f (0 K) = -1.17 eV per atom
spin magnetization = 0.000 μB per atom

abc: 3.6284 8.1419 14.8450
angles: 75.50 89.99 77.13
With the nearest neighbours (Å) after each atom.
Element x y z (fractional)
Zr (0.0000, 0.0000, 0.0000)  4 P 2.63-2.87
Zr (0.0039, 0.9918, 0.6668)  5 P 2.67-2.74
Zr (0.1764, 0.6470, 0.5425)  5 P 2.74-3.03
Zr (0.1951, 0.6102, 0.3099)  4 P 2.65-2.90
Zr (0.2054, 0.5904, 0.7966)  5 P 2.59-2.75
Zr (0.3403, 0.3202, 0.0303)  4 P 2.71-2.73
Zr (0.4325, 0.1361, 0.8334)  4 P 2.72-2.78, 2 Zr 3.03
Zr (0.5000, 0.0000, 0.5000)  4 P 2.72-2.79
Zr (0.5675, 0.8639, 0.1666)  4 P 2.72-2.78, 2 Zr 3.03
Zr (0.6597, 0.6798, 0.9697)  4 P 2.71-2.73
Zr (0.7946, 0.4096, 0.2034)  5 P 2.59-2.75
Zr (0.8049, 0.3898, 0.6901)  4 P 2.65-2.90
Zr (0.8236, 0.3530, 0.4575)  5 P 2.74-3.03
Zr (0.9961, 0.0082, 0.3332)  5 P 2.67-2.74
P (0.0628, 0.8742, 0.8524)  7 Zr 2.59-2.72
P (0.1771, 0.6451, 0.1109)  8 Zr 2.71-2.90
P (0.3696, 0.2613, 0.3403)  8 Zr 2.69-2.75
P (0.3739, 0.2526, 0.6002)  7 Zr 2.65-2.79
P (0.6261, 0.7474, 0.3998)  7 Zr 2.65-2.79
P (0.6304, 0.7387, 0.6597)  8 Zr 2.69-2.75
P (0.8229, 0.3549, 0.8891)  8 Zr 2.71-2.90
P (0.9372, 0.1258, 0.1476)  7 Zr 2.59-2.72